Below is PrInPbAu after structural relaxation, with properties calculated at the PBE level.

For the total moment, the calculation gives 0.00 μB per cell. The theoretical density comes out at 10263 kg/m³. The value obtained for the formation energy from the elements is -0.358 eV per atom.

It has space group F-43m (No. 216), with a = 7.531 Å, b = 7.531 Å, c = 7.531 Å, α = 90.00°, β = 90.00° and γ = 90.00°. The inequivalent atoms are Pr at (0.000, 0.000, 0.000), In at (0.250, 0.250, 0.250), Pb at (0.000, 0.000, 0.500) and Au at (0.250, 0.250, 0.750).

***

Below is B2C after structural relaxation, with properties calculated at the PBE level.

For the total moment, the calculation gives 0.00 μB per cell. As for the relative energy among the computed polymorphs: 0.211 eV per atom. The theoretical density comes out at 2157 kg/m³. The value obtained for the formation energy from the elements is 0.396 eV per atom.

It has space group P-3m1 (No. 164), with a = 2.7048 Å, b = 2.7048 Å, c = 16.3477 Å, α = 90.00°, β = 90.00° and γ = 120.00°. The inequivalent atoms are B at (0.0000, 0.0000, 0.1343), B at (0.3333, 0.6667, 0.3637), B at (0.3333, 0.6667, 0.4707), B at (0.3333, 0.6667, 0.9690), C at (0.0000, 0.0000, 0.3612) and C at (0.3333, 0.6667, 0.8734).

***

Below is Tm4Ge3Pt after structural relaxation, with properties calculated at the PBE level.

For the total moment, the calculation gives 0.00 μB per cell. The theoretical density comes out at 10252 kg/m³. The value obtained for the formation energy from the elements is -0.956 eV per atom.

It has space group Pmm2 (No. 25), with a = 4.045 Å, b = 4.082 Å, c = 10.679 Å, α = 90.00°, β = 90.00° and γ = 90.00°. The inequivalent atoms are Tm at (0.000, 0.000, 0.000), Tm at (0.000, 0.500, 0.490), Tm at (0.500, 0.000, 0.716), Tm at (0.500, 0.500, 0.219), Ge at (0.000, 0.500, 0.768), Ge at (0.500, 0.000, 0.443), Ge at (0.500, 0.500, 0.937) and Pt at (0.000, 0.000, 0.268).

***

Below is Ho12ErSc2 after structural relaxation, with properties calculated at the PBE level.

For the total moment, the calculation gives 0.00 μB per cell. The theoretical density comes out at 7625 kg/m³. The value obtained for the formation energy from the elements is 0.372 eV per atom.

It has space group P4/nbm (No. 125, origin choice 2), with a = 6.249 Å, b = 6.249 Å, c = 24.940 Å, α = 90.00°, β = 90.00° and γ = 90.00°. The inequivalent atoms are Ho at (0.066, 0.566, 0.116), Ho at (0.080, 0.580, 0.439), Ho at (0.250, 0.250, 0.216), Ho at (0.250, 0.250, 0.338), Er at (0.250, 0.750, 0.000) and Sc at (0.250, 0.750, 0.274).

***

Q: What is the formation energy from the elements in the first record?
A: -0.358 eV per atom